# Rb3Sm3MoO8 | Alexandria | PBE+U | relaxed
# **Crystal system**: monoclinic
# **Final energy**: -201.0 eV for the cell shown
# **Theoretical density**: 5.48 Mg/m³
# **Total magnetic moment**: 2.00 μB/f.u.
data_Rb3Sm3MoO8
_cell_length_a 12.105
_cell_length_b 7.036
_cell_length_c 7.764
_cell_angle_alpha 90.00
_cell_angle_beta 121.45
_cell_angle_gamma 90.00
_symmetry_space_group_name_H-M 'C 1 2/m 1'
_symmetry_Int_Tables_number 12
loop_
_symmetry_equiv_pos_as_xyz
'x,y,z'
'-x,-y,-z'
'-x,y,-z'
'x,-y,z'
'x+1/2,y+1/2,z'
'-x+1/2,-y+1/2,-z'
'-x+1/2,y+1/2,-z'
'x+1/2,-y+1/2,z'
loop_
_atom_site_label
_atom_site_type_symbol
_atom_site_fract_x
_atom_site_fract_y
_atom_site_fract_z
Rb1 Rb 0.000 0.000 0.000
Rb2 Rb 0.250 0.250 0.000
Sm1 Sm 0.000 0.500 0.500
Sm2 Sm 0.250 0.250 0.500
Mo1 Mo 0.000 0.000 0.500
O1 O 0.021 0.229 0.335
O2 O 0.204 0.000 0.664
O3 O 0.226 0.500 0.677